Record 1
{
  "formula": "TaNb3Fe",
  "functional": "PBE",
  "state": "relaxed",
  "crystal_system": "orthorhombic",
  "lattice_angstrom": [[4.9081, 0.0000, 0.0000], [0.0000, 5.3655, 0.0000], [0.0000, -2.6827, 6.7846]],
  "species": ["Ta", "Ta", "Nb", "Nb", "Nb", "Nb", "Nb", "Nb", "Fe", "Fe"],
  "fractional_positions": [[0.2500, 0.4416, 0.8833], [0.7500, 0.5584, 0.1167], [0.2500, 0.8351, 0.6703], [0.7500, 0.1649, 0.3297], [0.2500, 0.4070, 0.3004], [0.7500, 0.5930, 0.6996], [0.2500, 0.8934, 0.3004], [0.7500, 0.1066, 0.6996], [0.0000, 0.0000, 0.0000], [0.5000, 0.0000, 0.0000]]
}



Record 2
{
  "formula": "Ta2NbFe",
  "functional": "PBE",
  "state": "relaxed",
  "crystal_system": "tetragonal",
  "lattice_angstrom": [[3.1901, 0.0000, 0.0000], [0.0000, 3.1901, 0.0000], [0.0000, 0.0000, 6.4304]],
  "species": ["Nb", "Fe", "Ta", "Ta"],
  "fractional_positions": [[0.5000, 0.5000, 0.5000], [0.5000, 0.5000, 0.0000], [0.0000, 0.0000, 0.7656], [0.0000, 0.0000, 0.2344]]
}



Record 3
{
  "formula": "Ta2Ti5NbFe2",
  "functional": "PBE",
  "state": "relaxed",
  "crystal_system": "tetragonal",
  "lattice_angstrom": [[3.0467, 0.0000, 0.0000], [0.0000, 10.3086, 0.0000], [0.0000, 0.0000, 10.3086]],
  "species": ["Ta", "Ta", "Ta", "Ta", "Ti", "Ti", "Ti", "Ti", "Ti", "Ti", "Ti", "Ti", "Ti", "Ti", "Nb", "Nb", "Fe", "Fe", "Fe", "Fe"],
  "fractional_positions": [[0.0000, 0.6768, 0.1768], [0.0000, 0.3232, 0.8232], [0.0000, 0.1768, 0.3232], [0.0000, 0.8232, 0.6768], [0.5000, 0.2110, 0.0623], [0.5000, 0.7890, 0.9377], [0.5000, 0.0623, 0.7890], [0.5000, 0.7110, 0.4377], [0.5000, 0.9377, 0.2110], [0.5000, 0.2890, 0.5623], [0.5000, 0.5623, 0.7110], [0.5000, 0.4377, 0.2890], [0.5000, 0.5000, 0.0000], [0.5000, 0.0000, 0.5000], [0.0000, 0.0000, 0.0000], [0.0000, 0.5000, 0.5000], [0.0000, 0.1266, 0.6266], [0.0000, 0.8734, 0.3734], [0.0000, 0.6266, 0.8734], [0.0000, 0.3734, 0.1266]]
}



Record 4
{
  "formula": "TaTiNbFe",
  "functional": "PBE",
  "state": "relaxed",
  "crystal_system": "cubic",
  "lattice_angstrom": [[-0.4338, -0.9667, 4.3300], [-2.5948, -3.3921, 1.2773], [1.8358, -3.7120, 1.6498]],
  "species": ["Nb", "Ti", "Fe", "Ta"],
  "fractional_positions": [[0.5000, 0.5000, 0.5000], [0.2500, 0.2500, 0.2500], [0.0000, 0.0000, 0.0000], [0.7500, 0.7500, 0.7500]]
}



Record 5
{
  "formula": "TaNbVFe",
  "functional": "PBE",
  "state": "relaxed",
  "crystal_system": "cubic",
  "lattice_angstrom": [[-4.2266, 0.3915, 1.0981], [-3.1122, -0.4994, -3.0477], [-2.5849, -3.5408, 0.0661]],
  "species": ["Nb", "V", "Fe", "Ta"],
  "fractional_positions": [[0.5000, 0.5000, 0.5000], [0.7500, 0.7500, 0.7500], [0.2500, 0.2500, 0.2500], [0.0000, 0.0000, 0.0000]]
}



Record 6
{
  "formula": "Ta2Nb5VFe2",
  "functional": "PBE",
  "state": "relaxed",
  "crystal_system": "tetragonal",
  "lattice_angstrom": [[3.2081, 0.0000, 0.0000], [0.0000, 10.2212, 0.0000], [0.0000, 0.0000, 10.2212]],
  "species": ["Ta", "Ta", "Ta", "Ta", "Nb", "Nb", "Nb", "Nb", "Nb", "Nb", "Nb", "Nb", "Nb", "Nb", "V", "V", "Fe", "Fe", "Fe", "Fe"],
  "fractional_positions": [[0.0000, 0.6751, 0.1751], [0.0000, 0.3249, 0.8249], [0.0000, 0.1751, 0.3249], [0.0000, 0.8249, 0.6751], [0.5000, 0.2014, 0.0642], [0.5000, 0.7986, 0.9358], [0.5000, 0.0642, 0.7986], [0.5000, 0.7014, 0.4358], [0.5000, 0.9358, 0.2014], [0.5000, 0.2986, 0.5642], [0.5000, 0.5642, 0.7014], [0.5000, 0.4358, 0.2986], [0.5000, 0.5000, 0.0000], [0.5000, 0.0000, 0.5000], [0.0000, 0.0000, 0.0000], [0.0000, 0.5000, 0.5000], [0.0000, 0.1281, 0.6281], [0.0000, 0.8719, 0.3719], [0.0000, 0.6281, 0.8719], [0.0000, 0.3719, 0.1281]]
}



Number 1: volume 178.7 Å³/cell, VASP energy -48.8 eV/f.u., calculated formation energy 0.338 eV/atom. Number 2: volume 65.4 Å³/cell, VASP energy -42.5 eV/f.u., calculated formation energy -0.061 eV/atom. Number 3: volume 323.8 Å³/cell, VASP energy -90.1 eV/f.u., calculated formation energy 0.008 eV/atom. Number 4: volume 62.6 Å³/cell, VASP energy -38.4 eV/f.u., calculated formation energy -0.032 eV/atom. Number 5: volume 59.6 Å³/cell, VASP energy -39.7 eV/f.u., calculated formation energy -0.059 eV/atom. Number 6: volume 335.2 Å³/cell, VASP energy -99.1 eV/f.u., calculated formation energy 0.096 eV/atom.